A.
Below is an optimized crystal structure of Sm2Ho3Cd3, with properties calculated at the PBE level.

Values from the calculation:
mass density: 8475 kg/m³
magnetic moment: 0.0 μB per formula unit
crystal system: orthorhombic

Cell: 4.900 4.906 9.234 Å, 90.00 90.00 90.00°
Fractional coordinates of all 8 atoms:
1 Sm 0.000 0.000 0.242
2 Sm 0.000 0.000 0.758
3 Ho 0.000 0.500 0.500
4 Ho 0.500 0.500 0.230
5 Ho 0.500 0.500 0.770
6 Cd 0.000 0.500 0.000
7 Cd 0.500 0.000 0.000
8 Cd 0.500 0.000 0.500

=====

B.
Below is an optimized crystal structure of Sm2Ho3Cd3, with properties calculated at the PBE level.

Values from the calculation:
mass density: 8416 kg/m³
magnetic moment: 0.0 μB per formula unit
crystal system: orthorhombic

Cell: 11.630 11.630 11.630 Å, 161.40 153.52 32.56°
Fractional coordinates of all 8 atoms:
1 Sm 0.232 0.232 0.000
2 Sm 0.768 0.768 0.000
3 Ho 0.000 0.000 0.000
4 Ho 0.379 0.879 0.500
5 Ho 0.621 0.121 0.500
6 Cd 0.114 0.614 0.500
7 Cd 0.500 0.500 0.000
8 Cd 0.886 0.386 0.500

=====

The least stable of them is A.

=====

A.
Below is an optimized crystal structure of TbSmHoCd, with properties calculated at the PBE level.

Values from the calculation:
mass density: 8264 kg/m³
magnetic moment: 0.0 μB per formula unit
crystal system: tetragonal

Cell: 3.609 3.609 9.051 Å, 90.00 90.00 90.00°
Fractional coordinates of all 4 atoms:
1 Tb 0.000 0.000 0.000
2 Sm 0.500 0.500 0.277
3 Ho 0.000 0.000 0.552
4 Cd 0.500 0.500 0.773

=====

B.
Below is an optimized crystal structure of TbSmHoCd, with properties calculated at the PBE level.

Values from the calculation:
mass density: 8393 kg/m³
magnetic moment: 0.0 μB per formula unit
crystal system: cubic

Cell: 5.475 5.475 5.475 Å, 60.00 60.00 60.00°
Fractional coordinates of all 4 atoms:
1 Tb 0.000 0.000 0.000
2 Sm 0.500 0.500 0.500
3 Ho 0.250 0.250 0.250
4 Cd 0.750 0.750 0.750

=====

The least stable of them is B.

=====

A.
Below is an optimized crystal structure of SmHoThCd, with properties calculated at the PBE level.

Values from the calculation:
mass density: 9347 kg/m³
magnetic moment: 0.0 μB per formula unit
crystal system: cubic

Cell: 5.493 5.493 5.493 Å, 60.00 60.00 60.00°
Fractional coordinates of all 4 atoms:
1 Sm 0.000 0.000 0.000
2 Ho 0.500 0.500 0.500
3 Th 0.250 0.250 0.250
4 Cd 0.750 0.750 0.750

=====

B.
Below is an optimized crystal structure of SmHoThCd, with properties calculated at the PBE level.

Values from the calculation:
mass density: 9363 kg/m³
magnetic moment: 0.0 μB per formula unit
crystal system: tetragonal

Cell: 3.624 3.624 8.910 Å, 90.00 90.00 90.00°
Fractional coordinates of all 4 atoms:
1 Sm 0.000 0.000 0.000
2 Ho 0.000 0.000 0.463
3 Th 0.500 0.500 0.728
4 Cd 0.500 0.500 0.240

=====

The least stable of them is A.

=====

A.
Below is an optimized crystal structure of SmYHoCd, with properties calculated at the PBE level.

Values from the calculation:
mass density: 7379 kg/m³
magnetic moment: 0.0 μB per formula unit
crystal system: cubic

Cell: 5.478 5.478 5.478 Å, 60.00 60.00 60.00°
Fractional coordinates of all 4 atoms:
1 Sm 0.000 0.000 0.000
2 Y 0.500 0.500 0.500
3 Ho 0.250 0.250 0.250
4 Cd 0.750 0.750 0.750

=====

B.
Below is an optimized crystal structure of SmYHoCd, with properties calculated at the PBE level.

Values from the calculation:
mass density: 7269 kg/m³
magnetic moment: 0.0 μB per formula unit
crystal system: tetragonal

Cell: 3.612 3.612 9.045 Å, 90.00 90.00 90.00°
Fractional coordinates of all 4 atoms:
1 Sm 0.000 0.000 0.000
2 Y 0.500 0.500 0.720
3 Ho 0.500 0.500 0.275
4 Cd 0.000 0.000 0.495

=====

The least stable of them is A.